Below is a geometry-optimized LiMgNbNi structure, with properties calculated at the PBE level.

a b c (Å): 6.1477 6.1477 6.1477
angles (deg): 90.00 90.00 90.00
With the nearest neighbours (Å) after each atom.
Fractional positions:
Li1 0.0000 0.0000 0.0000  4 Mg 2.66, 4 Nb 2.66
Li2 0.0000 0.5000 0.5000  4 Mg 2.66, 4 Nb 2.66
Li3 0.5000 0.0000 0.5000  4 Mg 2.66, 4 Nb 2.66
Li4 0.5000 0.5000 0.0000  4 Mg 2.66, 4 Nb 2.66
Mg1 0.2500 0.2500 0.2500  4 Li 2.66, 4 Ni 2.66
Mg2 0.2500 0.7500 0.7500  4 Li 2.66, 4 Ni 2.66
Mg3 0.7500 0.2500 0.7500  4 Li 2.66, 4 Ni 2.66
Mg4 0.7500 0.7500 0.2500  4 Li 2.66, 4 Ni 2.66
Nb1 0.2500 0.2500 0.7500  4 Li 2.66, 4 Ni 2.66
Nb2 0.2500 0.7500 0.2500  4 Li 2.66, 4 Ni 2.66
Nb3 0.7500 0.2500 0.2500  4 Li 2.66, 4 Ni 2.66
Nb4 0.7500 0.7500 0.7500  4 Li 2.66, 4 Ni 2.66
Ni1 0.0000 0.0000 0.5000  4 Nb 2.66, 4 Mg 2.66
Ni2 0.0000 0.5000 0.0000  4 Nb 2.66, 4 Mg 2.66
Ni3 0.5000 0.0000 0.0000  4 Nb 2.66, 4 Mg 2.66
Ni4 0.5000 0.5000 0.5000  4 Nb 2.66, 4 Mg 2.66

Computed properties:
Space-group type = F-43m
Distance to the lowest polymorph of the same formula = 0.000 eV per atom
M_tot = 0.0 μB/f.u.

***

Below is a geometry-optimized SrDyGa4Au2 structure, with properties calculated at the PBE level.

a b c (Å): 6.7631 4.6045 10.5024
angles (deg): 90.00 90.00 90.00
With the nearest neighbours (Å) after each atom.
Fractional positions:
Sr1 0.0000 0.0000 0.0000  3 Au 3.07-3.17, 6 Ga 3.12-3.31
Sr2 0.0000 0.5000 0.5000  3 Au 3.07-3.17, 6 Ga 3.12-3.31
Dy1 0.5000 0.0000 0.8118  6 Ga 3.07-3.21, 3 Au 3.11-3.14
Dy2 0.5000 0.5000 0.3118  6 Ga 3.07-3.21, 3 Au 3.11-3.14
Ga1 0.2014 0.0000 0.2876  2 Ga 2.67-2.72, 3 Au 2.76-2.80
Ga2 0.2014 0.5000 0.7876  2 Ga 2.67-2.72, 3 Au 2.76-2.80
Ga3 0.3079 0.0000 0.5322  2 Ga 2.60-2.67, 3 Au 2.76-2.78
Ga4 0.3079 0.5000 0.0322  2 Ga 2.60-2.67, 3 Au 2.76-2.78
Ga5 0.6921 0.0000 0.5322  2 Ga 2.60-2.67, 3 Au 2.76-2.78
Ga6 0.6921 0.5000 0.0322  2 Ga 2.60-2.67, 3 Au 2.76-2.78
Ga7 0.7986 0.0000 0.2876  2 Ga 2.67-2.72, 3 Au 2.76-2.80
Ga8 0.7986 0.5000 0.7876  2 Ga 2.67-2.72, 3 Au 2.76-2.80
Au1 0.0000 0.0000 0.7077  6 Ga 2.78-2.80, 1 Sr 3.07
Au2 0.0000 0.5000 0.2077  6 Ga 2.78-2.80, 1 Sr 3.07
Au3 0.5000 0.0000 0.1082  6 Ga 2.76
Au4 0.5000 0.5000 0.6082  6 Ga 2.76

Computed properties:
Total DFT energy (no corrections) = -29.64 eV per formula unit
Space-group type = Amm2
M_tot = 0.0 μB/f.u.

***

Please write out number 2 again, unchanged.
Below is a geometry-optimized SrDyGa4Au2 structure, with properties calculated at the PBE level.

a b c (Å): 6.7631 4.6045 10.5024
angles (deg): 90.00 90.00 90.00
With the nearest neighbours (Å) after each atom.
Fractional positions:
Sr1 0.0000 0.0000 0.0000  3 Au 3.07-3.17, 6 Ga 3.12-3.31
Sr2 0.0000 0.5000 0.5000  3 Au 3.07-3.17, 6 Ga 3.12-3.31
Dy1 0.5000 0.0000 0.8118  6 Ga 3.07-3.21, 3 Au 3.11-3.14
Dy2 0.5000 0.5000 0.3118  6 Ga 3.07-3.21, 3 Au 3.11-3.14
Ga1 0.2014 0.0000 0.2876  2 Ga 2.67-2.72, 3 Au 2.76-2.80
Ga2 0.2014 0.5000 0.7876  2 Ga 2.67-2.72, 3 Au 2.76-2.80
Ga3 0.3079 0.0000 0.5322  2 Ga 2.60-2.67, 3 Au 2.76-2.78
Ga4 0.3079 0.5000 0.0322  2 Ga 2.60-2.67, 3 Au 2.76-2.78
Ga5 0.6921 0.0000 0.5322  2 Ga 2.60-2.67, 3 Au 2.76-2.78
Ga6 0.6921 0.5000 0.0322  2 Ga 2.60-2.67, 3 Au 2.76-2.78
Ga7 0.7986 0.0000 0.2876  2 Ga 2.67-2.72, 3 Au 2.76-2.80
Ga8 0.7986 0.5000 0.7876  2 Ga 2.67-2.72, 3 Au 2.76-2.80
Au1 0.0000 0.0000 0.7077  6 Ga 2.78-2.80, 1 Sr 3.07
Au2 0.0000 0.5000 0.2077  6 Ga 2.78-2.80, 1 Sr 3.07
Au3 0.5000 0.0000 0.1082  6 Ga 2.76
Au4 0.5000 0.5000 0.6082  6 Ga 2.76

Computed properties:
Total DFT energy (no corrections) = -29.64 eV per formula unit
Space-group type = Amm2
M_tot = 0.0 μB/f.u.